Material: La2ScBi2
Method: DFT, PBE-GGA
State: relaxed

The structure in POSCAR format:
```
La2ScBi2
1.0
8.855 0.000 0.000
0.000 8.855 0.000
0.000 0.000 4.231
La Sc Bi
4 2 4
Direct
0.135 0.365 0.000 La
0.365 0.865 0.000 La
0.635 0.135 0.000 La
0.865 0.635 0.000 La
0.000 0.000 0.000 Sc
0.500 0.500 0.000 Sc
0.170 0.670 0.500 Bi
0.330 0.170 0.500 Bi
0.670 0.830 0.500 Bi
0.830 0.330 0.500 Bi
```

Values from the calculation:
The total energy is -5.1997 eV/atom.

Material: LaSc3Bi2
Method: DFT, PBE-GGA
State: relaxed

The structure in POSCAR format:
```
LaSc3Bi2
1.0
9.389 -2.218 0.000
9.389 2.218 0.000
-4.939 0.000 8.435
La Sc Bi
2 6 4
Direct
0.128 0.128 0.092 La
0.872 0.872 0.908 La
0.054 0.054 0.413 Sc
0.313 0.313 0.532 Sc
0.409 0.409 0.330 Sc
0.591 0.591 0.670 Sc
0.687 0.687 0.468 Sc
0.946 0.946 0.587 Sc
0.219 0.219 0.734 Bi
0.485 0.485 0.822 Bi
0.515 0.515 0.178 Bi
0.781 0.781 0.266 Bi
```

Values from the calculation:
The total energy is -5.7680 eV/atom.

Material: La5ScBi4
Method: DFT, PBE-GGA
State: relaxed

The structure in POSCAR format:
```
La5ScBi4
1.0
9.818 -2.244 0.000
9.818 2.244 0.000
-2.227 0.000 8.566
La Sc Bi
5 1 4
Direct
0.000 0.000 0.000 La
0.327 0.327 0.151 La
0.332 0.332 0.682 La
0.668 0.668 0.318 La
0.673 0.673 0.849 La
0.000 0.000 0.500 Sc
0.161 0.161 0.579 Bi
0.497 0.497 0.265 Bi
0.503 0.503 0.735 Bi
0.839 0.839 0.421 Bi
```

Values from the calculation:
The total energy is -5.2396 eV/atom.

What is the formula in the second record?
LaSc3Bi2